No. 1
Material: Te2AsAu
Method: DFT, PBE-GGA
State: relaxed

Cell: 4.5718 7.2887 7.8079 Å, 97.98 90.00 90.01°
Atoms (fractional coordinates):
Te: 0.5001 0.9505 0.0649
Te: 0.0185 0.4544 0.0633
Te: 0.0185 0.0691 0.6605
Te: 0.5001 0.5729 0.6589
As: 0.9116 0.7618 0.8620
As: 0.6139 0.2618 0.8619
Au: 0.7524 0.9798 0.3661
Au: 0.7525 0.5435 0.3577

Values from the calculation:
size of the total moment: 0.00 Bohr magnetons per cell
energy relative to the elements, uncorrected: 1 kJ/mol of atoms
theoretical density: 6.8 Mg/m³

***

No. 2
Material: Te2AsAu2
Method: DFT, PBE-GGA
State: relaxed

Cell: 7.6237 7.6237 3.9674 Å, 90.00 90.00 90.00°
Atoms (fractional coordinates):
As: 0.0000 0.0000 0.0000
As: 0.5000 0.5000 0.0000
Au: 0.6332 0.1332 0.0000
Au: 0.3668 0.8668 0.0000
Au: 0.1332 0.3668 0.0000
Au: 0.8668 0.6332 0.0000
Te: 0.3261 0.1739 0.5000
Te: 0.8261 0.3261 0.5000
Te: 0.1739 0.6739 0.5000
Te: 0.6739 0.8261 0.5000

Values from the calculation:
size of the total moment: 0.00 Bohr magnetons per cell
energy relative to the elements, uncorrected: 30 kJ/mol of atoms
theoretical density: 10.4 Mg/m³

***

No. 3
Material: TeAs2Au
Method: DFT, PBE-GGA
State: relaxed

Cell: 4.0401 4.8686 4.9329 Å, 72.05 90.00 90.00°
Atoms (fractional coordinates):
Te: 0.5000 0.7500 0.7500
Au: 0.5000 0.2500 0.2500
As: 0.0000 0.5106 0.4415
As: 0.0000 0.9894 0.0585

Values from the calculation:
size of the total moment: 0.00 Bohr magnetons per cell
energy relative to the elements, uncorrected: 4 kJ/mol of atoms
theoretical density: 8.5 Mg/m³

***

No. 4
Material: TeAs2Au
Method: DFT, PBE-GGA
State: relaxed

Cell: 6.3757 6.3757 6.3757 Å, 142.03 143.73 53.52°
Atoms (fractional coordinates):
Au: 0.5002 0.5002 0.0000
As: 0.8325 0.3325 0.5000
As: 0.9836 0.9836 0.0000
Te: 0.1837 0.6837 0.5000

Values from the calculation:
size of the total moment: 0.00 Bohr magnetons per cell
energy relative to the elements, uncorrected: 21 kJ/mol of atoms
theoretical density: 8.4 Mg/m³

***

Number 1: VASP energy -14.173 eV/f.u.. Number 2: VASP energy -15.947 eV/f.u.. Number 3: VASP energy -15.565 eV/f.u.. Number 4: VASP energy -14.867 eV/f.u..